Record 1
Crystalline HfMnBi2O6 at its relaxed geometry, computed with GGA+U.

Calculated values
final energy = -74.837 eV per cell
spin magnetization = 5.00 μB per formula unit
symmetry = R3, No. 146

```
HfMnBi2O6
1.0
5.8193 0.0001 0.0004
2.9097 5.0405 0.0005
2.9097 1.6808 4.9089
Hf Mn Bi O
1 1 2 6
direct
0.3123 0.3123 0.0631
0.8076 0.8077 0.5772
0.5262 0.5263 0.4214
0.0269 0.0270 0.9192
0.5959 0.1667 0.2510
0.1667 0.9864 0.2512
0.9864 0.5957 0.2511
0.4606 0.6606 0.7603
0.6606 0.1184 0.7604
0.1184 0.4605 0.7604
```

---

Record 2
Crystalline HfMn2BiO6 at its relaxed geometry, computed with GGA+U.

Calculated values
final energy = -77.854 eV per cell
spin magnetization = 7.00 μB per formula unit
symmetry = P1, No. 1

```
HfMn2BiO6
1.0
5.4274 0.0040 0.0124
2.7171 4.7163 0.0001
2.7249 1.5682 4.9452
Hf Mn Bi O
1 2 1 6
direct
0.8180 0.8166 0.5502
0.5079 0.5096 0.4724
0.0273 0.0267 0.9184
0.2998 0.2997 0.0992
0.6514 0.2319 0.2658
0.2329 0.8502 0.2633
0.8501 0.6540 0.2649
0.4290 0.7229 0.7273
0.7246 0.1209 0.7259
0.1207 0.4291 0.7278
```